(1)
Here is a relaxed structure of Sc2PbSe2 from the Alexandria database. Energies are from PBE.

Lattice parameters (Å, degrees): 8.0385 8.0385 3.4391 90.00 90.00 90.00
Positions (direct):
1 Sc 0.1516 0.3484 0.0000
2 Sc 0.3484 0.8484 0.0000
3 Sc 0.6516 0.1516 0.0000
4 Sc 0.8484 0.6516 0.0000
5 Pb 0.0000 0.0000 0.5000
6 Pb 0.5000 0.5000 0.5000
7 Se 0.1384 0.6384 0.5000
8 Se 0.3616 0.1384 0.5000
9 Se 0.6384 0.8616 0.5000
10 Se 0.8616 0.3616 0.5000

Computed properties:
Space-group type: P4/mbm (127)
Distance to the lowest polymorph of the same formula in eV per atom: 0.056
Formation energy without anion corrections in eV per atom: -0.91

---

(2)
Here is a relaxed structure of Al2AsP from the Alexandria database. Energies are from PBE.

Lattice parameters (Å, degrees): 2.8511 2.8511 9.0392 90.00 90.00 101.64
Positions (direct):
1 Al 0.0000 0.0000 0.0000
2 Al 0.5000 0.5000 0.2296
3 As 0.0000 0.0000 0.4499
4 P 0.5000 0.5000 0.8051

Computed properties:
Space-group type: Cmm2 (35)
E_form in eV/atom: 0.1639
Distance to the lowest polymorph of the same formula in eV per atom: 0.711